No. 1
Material: LaCr2As
Method: DFT, SCAN
State: single point on PBEsol structure

POSCAR file:
```
LaCr2As
1.0
4.2665 -1.6413 0.0000
4.2665 1.6413 0.0000
-1.1412 0.0000 5.2064
La Cr As
1 2 1
direct
0.0000 0.0000 0.0000
0.2350 0.2350 0.6301
0.7650 0.7650 0.3699
0.5000 0.5000 0.5000
```

Values from the calculation:
ΔE_f = 0.10 eV/atom
magnetization = 0.00 μB/cell
E_tot = -24.92 eV per atom

---

No. 2
Material: LaCrAs2
Method: DFT, SCAN
State: single point on PBEsol structure

POSCAR file:
```
LaCrAs2
1.0
4.6895 0.0000 0.0000
0.0000 4.6895 0.0000
0.0000 0.0000 3.8384
La Cr As
1 1 2
direct
0.0000 0.0000 0.0000
0.5000 0.5000 0.0000
0.0000 0.5000 0.5000
0.5000 0.0000 0.5000
```

Values from the calculation:
ΔE_f = -0.61 eV/atom
magnetization = 4.53 μB/cell
E_tot = -26.07 eV per atom

---

No. 3
Material: LaCrAs2
Method: DFT, SCAN
State: single point on PBEsol structure

POSCAR file:
```
LaCrAs2
1.0
0.0000 3.4548 3.4548
3.4548 0.0000 3.4548
3.4548 3.4548 0.0000
La Cr As
1 1 2
direct
0.0000 0.0000 0.0000
0.5000 0.5000 0.5000
0.2500 0.2500 0.2500
0.7500 0.7500 0.7500
```

Values from the calculation:
ΔE_f = -0.62 eV/atom
magnetization = 3.09 μB/cell
E_tot = -26.08 eV per atom